! PBE LiCaPmRh, optimized geometry; values from VASP
&SYSTEM
  ibrav = 0, nat = 4, ntyp = 4
/
ATOMIC_SPECIES
Ca 40.08 Ca.upf
Li 6.94 Li.upf
Rh 102.91 Rh.upf
Pm 145.00 Pm.upf
CELL_PARAMETERS angstrom
-1.859 3.892 2.608
-4.316 -0.509 2.552
0.047 -0.090 5.039
ATOMIC_POSITIONS crystal
Ca 0.250 0.250 0.250
Li 0.000 0.000 0.000
Rh 0.500 0.500 0.500
Pm 0.750 0.750 0.750
! * uncorrected energy: -17.3 eV per cell
! * energy of formation from the pure elements: -309 meV per atom

***

! PBE AlZn2RhSe, optimized geometry; values from VASP
&SYSTEM
  ibrav = 0, nat = 5, ntyp = 4
/
ATOMIC_SPECIES
Zn 65.41 Zn.upf
Rh 102.91 Rh.upf
Al 26.98 Al.upf
Se 78.96 Se.upf
CELL_PARAMETERS angstrom
4.726 0.000 0.000
0.000 4.617 0.000
0.000 0.000 4.726
ATOMIC_POSITIONS crystal
Zn 0.000 0.000 0.500
Zn 0.500 0.000 0.000
Rh 0.000 0.500 0.000
Al 0.000 0.000 0.000
Se 0.500 0.500 0.500
! * formation energy from raw total energies: 544 meV/atom
! * uncorrected energy: -14.4 eV per cell

***

! PBE Rb3MgAs, optimized geometry; values from VASP
&SYSTEM
  ibrav = 0, nat = 5, ntyp = 3
/
ATOMIC_SPECIES
As 74.92 As.upf
Mg 24.30 Mg.upf
Rb 85.47 Rb.upf
CELL_PARAMETERS angstrom
6.802 0.000 0.000
0.000 6.802 0.000
0.000 0.000 6.802
ATOMIC_POSITIONS crystal
As 0.000 0.000 0.000
Mg 0.500 0.500 0.500
Rb 0.000 0.500 0.000
Rb 0.000 0.000 0.500
Rb 0.500 0.000 0.000
! * uncorrected energy: -8.8 eV per cell
! * ΔE to the lowest computed polymorph: 0.000 eV per atom
! * energy of formation from the pure elements: 72 meV per atom

***

! PBE NaYIrO6, optimized geometry; values from VASP
&SYSTEM
  ibrav = 0, nat = 18, ntyp = 4
/
ATOMIC_SPECIES
Na 22.99 Na.upf
Y 88.91 Y.upf
Ir 192.22 Ir.upf
O 16.00 O.upf
CELL_PARAMETERS angstrom
-3.112 -4.222 -1.985
4.110 -1.032 3.673
-6.106 1.137 7.152
ATOMIC_POSITIONS crystal
Na 0.000 0.000 0.000
Na 0.000 0.000 0.500
Y 0.333 0.667 0.250
Y 0.667 0.333 0.750
Ir 0.667 0.333 0.250
Ir 0.333 0.667 0.750
O 0.655 0.607 0.137
O 0.952 0.345 0.137
O 0.345 0.952 0.637
O 0.048 0.655 0.863
O 0.393 0.345 0.363
O 0.952 0.607 0.363
O 0.607 0.952 0.863
O 0.655 0.048 0.363
O 0.048 0.393 0.637
O 0.393 0.048 0.137
O 0.607 0.655 0.637
O 0.345 0.393 0.863
! * formation energy from raw total energies: -1423 meV/atom
! * uncorrected energy: -118.4 eV per cell

***

! PBE Dy2Pu2Ru3, optimized geometry; values from VASP
&SYSTEM
  ibrav = 0, nat = 7, ntyp = 3
/
ATOMIC_SPECIES
Dy 162.50 Dy.upf
Pu 244.00 Pu.upf
Ru 101.07 Ru.upf
CELL_PARAMETERS angstrom
3.265 -0.704 -0.526
-3.565 7.977 -0.173
-0.971 -1.446 6.790
ATOMIC_POSITIONS crystal
Dy 0.963 0.781 0.584
Dy 0.037 0.219 0.416
Pu 0.860 0.269 0.914
Pu 0.140 0.731 0.086
Ru 0.000 0.000 0.000
Ru 0.847 0.476 0.267
Ru 0.153 0.524 0.733
! * uncorrected energy: -67.3 eV per cell
! * ΔE to the lowest computed polymorph: 0.000 eV per atom
! * energy of formation from the pure elements: -223 meV per atom

***

! PBE KMg2AgCl8, optimized geometry; values from VASP
&SYSTEM
  ibrav = 0, nat = 12, ntyp = 4
/
ATOMIC_SPECIES
K 39.10 K.upf
Mg 24.30 Mg.upf
Ag 107.87 Ag.upf
Cl 35.45 Cl.upf
CELL_PARAMETERS angstrom
-6.356 -0.580 2.281
0.458 -5.849 2.451
2.131 2.968 6.687
ATOMIC_POSITIONS crystal
K 0.000 0.000 0.500
Mg 0.500 0.500 0.767
Mg 0.500 0.500 0.233
Ag 0.000 0.000 0.000
Cl 0.132 0.734 0.206
Cl 0.610 0.725 0.000
Cl 0.868 0.266 0.206
Cl 0.868 0.266 0.794
Cl 0.390 0.275 0.000
Cl 0.132 0.734 0.794
Cl 0.662 0.658 0.500
Cl 0.338 0.342 0.500
! * formation energy from raw total energies: -1231 meV/atom
! * uncorrected energy: -36.7 eV per cell

***

! PBE TcBBr2, optimized geometry; values from VASP
&SYSTEM
  ibrav = 0, nat = 4, ntyp = 3
/
ATOMIC_SPECIES
B 10.81 B.upf
Tc 98.00 Tc.upf
Br 79.90 Br.upf
CELL_PARAMETERS angstrom
2.000 0.000 8.784
-1.000 1.732 8.784
-1.000 -1.732 8.784
ATOMIC_POSITIONS crystal
B 0.000 0.000 0.000
Tc 0.500 0.500 0.500
Br 0.895 0.895 0.895
Br 0.105 0.105 0.105
! * formation energy from raw total energies: 1349 meV/atom
! * uncorrected energy: -15.0 eV per cell
! * ΔE to the lowest computed polymorph: 0.000 eV per atom

***

! PBE ReAuSe, optimized geometry; values from VASP
&SYSTEM
  ibrav = 0, nat = 3, ntyp = 3
/
ATOMIC_SPECIES
Au 196.97 Au.upf
Re 186.21 Re.upf
Se 78.96 Se.upf
CELL_PARAMETERS angstrom
-1.718 6.490 0.102
-3.016 4.717 3.707
4.217 -5.128 -1.005
ATOMIC_POSITIONS crystal
Au 0.972 0.972 0.000
Re 0.321 0.321 0.000
Se 0.707 0.707 0.000
! * formation energy from raw total energies: 368 meV/atom
! * uncorrected energy: -18.1 eV per cell
! * ΔE to the lowest computed polymorph: 0.116 eV per atom

***

! PBE TbThS2, optimized geometry; values from VASP
&SYSTEM
  ibrav = 0, nat = 4, ntyp = 3
/
ATOMIC_SPECIES
Tb 158.93 Tb.upf
Th 232.04 Th.upf
S 32.06 S.upf
CELL_PARAMETERS angstrom
3.822 0.000 0.000
1.911 3.310 0.000
1.911 1.103 7.198
ATOMIC_POSITIONS crystal
Tb 0.496 0.496 0.513
Th 0.670 0.670 0.989
S 0.087 0.087 0.738
S 0.247 0.247 0.259
! * formation energy from raw total energies: -1814 meV/atom
! * uncorrected energy: -27.6 eV per cell
! * ΔE to the lowest computed polymorph: 0.104 eV per atom

***

! PBE AlCoW2, optimized geometry; values from VASP
&SYSTEM
  ibrav = 0, nat = 8, ntyp = 3
/
ATOMIC_SPECIES
Co 58.93 Co.upf
Al 26.98 Al.upf
W 183.84 W.upf
CELL_PARAMETERS angstrom
-3.323 0.322 -1.531
0.876 -2.595 -2.447
-4.524 -7.702 3.794
ATOMIC_POSITIONS crystal
Co 0.000 0.000 0.000
Co 0.750 0.250 0.500
Al 0.500 0.500 0.000
Al 0.250 0.750 0.500
W 0.619 0.125 0.250
W 0.131 0.625 0.250
W 0.375 0.381 0.750
W 0.875 0.869 0.750
! * uncorrected energy: -68.6 eV per cell
! * energy of formation from the pure elements: 615 meV per atom

***

! PBE CoMoSe2, optimized geometry; values from VASP
&SYSTEM
  ibrav = 0, nat = 4, ntyp = 3
/
ATOMIC_SPECIES
Mo 95.94 Mo.upf
Co 58.93 Co.upf
Se 78.96 Se.upf
CELL_PARAMETERS angstrom
1.854 0.000 8.056
-0.927 1.606 8.056
-0.927 -1.606 8.056
ATOMIC_POSITIONS crystal
Mo 0.500 0.500 0.500
Co 0.000 0.000 0.000
Se 0.906 0.906 0.906
Se 0.094 0.094 0.094
! * formation energy from raw total energies: 55 meV/atom
! * uncorrected energy: -24.7 eV per cell
! * ΔE to the lowest computed polymorph: 0.309 eV per atom

***

! PBE LiLu2Th, optimized geometry; values from VASP
&SYSTEM
  ibrav = 0, nat = 4, ntyp = 3
/
ATOMIC_SPECIES
Lu 174.97 Lu.upf
Th 232.04 Th.upf
Li 6.94 Li.upf
CELL_PARAMETERS angstrom
-3.498 -0.735 0.229
1.159 -4.555 3.086
-0.342 3.088 4.686
ATOMIC_POSITIONS crystal
Lu 0.000 0.000 0.500
Lu 0.000 0.500 0.000
Th 0.500 0.500 0.500
Li 0.500 0.000 0.000
! * uncorrected energy: -17.6 eV per cell
! * ΔE to the lowest computed polymorph: 0.125 eV per atom
! * energy of formation from the pure elements: 193 meV per atom

***

! PBE ZrAl3Ni4, optimized geometry; values from VASP
&SYSTEM
  ibrav = 0, nat = 8, ntyp = 3
/
ATOMIC_SPECIES
Ni 58.69 Ni.upf
Al 26.98 Al.upf
Zr 91.22 Zr.upf
CELL_PARAMETERS angstrom
-3.413 -1.698 1.478
-2.575 -1.936 -2.517
1.681 -7.600 0.807
ATOMIC_POSITIONS crystal
Ni 0.871 0.871 0.386
Ni 0.394 0.394 0.817
Ni 0.129 0.129 0.614
Ni 0.606 0.606 0.183
Al 0.246 0.246 0.263
Al 0.754 0.754 0.737
Al 0.500 0.500 0.500
Zr 0.000 0.000 0.000
! * uncorrected energy: -47.6 eV per cell
! * energy of formation from the pure elements: -584 meV per atom

***

! PBE Pr2YEr2, optimized geometry; values from VASP
&SYSTEM
  ibrav = 0, nat = 10, ntyp = 3
/
ATOMIC_SPECIES
Pr 140.91 Pr.upf
Y 88.91 Y.upf
Er 167.26 Er.upf
CELL_PARAMETERS angstrom
-0.525 3.191 5.366
5.081 -3.758 2.731
2.943 7.328 -4.070
ATOMIC_POSITIONS crystal
Pr 0.750 0.399 0.798
Pr 0.750 0.829 0.659
Pr 0.250 0.601 0.202
Pr 0.250 0.171 0.341
Y 0.000 0.000 0.000
Y 0.500 0.000 0.000
Er 0.750 0.410 0.342
Er 0.250 0.069 0.658
Er 0.250 0.590 0.658
Er 0.750 0.931 0.342
! * uncorrected energy: -47.4 eV per cell
! * ΔE to the lowest computed polymorph: 0.263 eV per atom
! * energy of formation from the pure elements: 294 meV per atom

***

! PBE CdFeAs, optimized geometry; values from VASP
&SYSTEM
  ibrav = 0, nat = 3, ntyp = 3
/
ATOMIC_SPECIES
As 74.92 As.upf
Cd 112.41 Cd.upf
Fe 55.84 Fe.upf
CELL_PARAMETERS angstrom
6.128 -0.018 0.019
5.421 2.857 0.028
0.707 0.165 2.870
ATOMIC_POSITIONS crystal
As 0.042 0.042 0.958
Cd 0.311 0.311 0.689
Fe 0.647 0.647 0.353
! * uncorrected energy: -13.6 eV per cell
! * ΔE to the lowest computed polymorph: 0.112 eV per atom
! * energy of formation from the pure elements: 128 meV per atom

***

! PBE Cs2ZrCBr6, optimized geometry; values from VASP
&SYSTEM
  ibrav = 0, nat = 10, ntyp = 4
/
ATOMIC_SPECIES
Cs 132.91 Cs.upf
C 12.01 C.upf
Br 79.90 Br.upf
Zr 91.22 Zr.upf
CELL_PARAMETERS angstrom
7.751 0.000 0.000
0.000 7.751 0.000
3.875 3.875 6.058
ATOMIC_POSITIONS crystal
Cs 0.750 0.250 0.500
Cs 0.250 0.750 0.500
C 0.500 0.500 0.000
Br 0.220 0.220 0.560
Br 0.780 0.780 0.440
Br 0.243 0.243 0.000
Br 0.757 0.757 0.000
Br 0.757 0.243 0.000
Br 0.243 0.757 0.000
Zr 0.000 0.000 0.000
! * formation energy from raw total energies: -728 meV/atom
! * uncorrected energy: -36.8 eV per cell

***

! PBE Ca2NbGa, optimized geometry; values from VASP
&SYSTEM
  ibrav = 0, nat = 8, ntyp = 3
/
ATOMIC_SPECIES
Nb 92.91 Nb.upf
Ca 40.08 Ca.upf
Ga 69.72 Ga.upf
CELL_PARAMETERS angstrom
-0.393 -4.996 6.656
-0.549 -6.634 -5.012
2.469 -6.054 0.816
ATOMIC_POSITIONS crystal
Nb 0.000 0.000 0.000
Nb 0.750 0.250 0.500
Ca 0.599 0.125 0.250
Ca 0.151 0.625 0.250
Ca 0.375 0.401 0.750
Ca 0.875 0.849 0.750
Ga 0.500 0.500 0.000
Ga 0.250 0.750 0.500
! * uncorrected energy: -29.8 eV per cell
! * energy of formation from the pure elements: 553 meV per atom

***

! PBE ReIrF3, optimized geometry; values from VASP
&SYSTEM
  ibrav = 0, nat = 5, ntyp = 3
/
ATOMIC_SPECIES
Re 186.21 Re.upf
Ir 192.22 Ir.upf
F 19.00 F.upf
CELL_PARAMETERS angstrom
4.166 0.000 0.000
0.000 4.166 0.000
0.000 0.000 4.166
ATOMIC_POSITIONS crystal
Re 0.000 0.000 0.000
Ir 0.500 0.500 0.500
F 0.000 0.500 0.000
F 0.000 0.000 0.500
F 0.500 0.000 0.000
! * formation energy from raw total energies: 332 meV/atom
! * uncorrected energy: -25.3 eV per cell
! * ΔE to the lowest computed polymorph: 0.000 eV per atom

***

! PBE ThMgScMo, optimized geometry; values from VASP
&SYSTEM
  ibrav = 0, nat = 4, ntyp = 4
/
ATOMIC_SPECIES
Sc 44.96 Sc.upf
Mo 95.94 Mo.upf
Mg 24.30 Mg.upf
Th 232.04 Th.upf
CELL_PARAMETERS angstrom
-4.857 0.098 1.289
-1.544 -2.359 4.162
-1.487 2.665 3.994
ATOMIC_POSITIONS crystal
Sc 0.000 0.000 0.000
Mo 0.750 0.750 0.750
Mg 0.250 0.250 0.250
Th 0.500 0.500 0.500
! * uncorrected energy: -25.6 eV per cell
! * energy of formation from the pure elements: 135 meV per atom

***

! PBE KSb2Os, optimized geometry; values from VASP
&SYSTEM
  ibrav = 0, nat = 4, ntyp = 3
/
ATOMIC_SPECIES
K 39.10 K.upf
Os 190.23 Os.upf
Sb 121.76 Sb.upf
CELL_PARAMETERS angstrom
4.284 -0.059 -0.011
2.200 3.677 -0.011
2.187 1.220 7.260
ATOMIC_POSITIONS crystal
K 0.504 0.504 0.490
Os 0.323 0.323 0.030
Sb 0.953 0.953 0.140
Sb 0.720 0.720 0.840
! * formation energy from raw total energies: 44 meV/atom
! * uncorrected energy: -20.4 eV per cell
! * ΔE to the lowest computed polymorph: 0.000 eV per atom